Entry 1:
! YGeBi2, single point on PBEsol structure, DFT SCAN; values from VASP
&SYSTEM
  ibrav = 0, nat = 8, ntyp = 3
/
ATOMIC_SPECIES
Y 88.91 Y.upf
Ge 72.64 Ge.upf
Bi 208.98 Bi.upf
ATOMIC_POSITIONS crystal
Y 0.000 0.000 0.000
Y 0.750 0.250 0.500
Ge 0.250 0.750 0.500
Ge 0.500 0.500 0.000
Bi 0.143 0.625 0.018
Bi 0.375 0.393 0.518
Bi 0.607 0.125 0.982
Bi 0.875 0.857 0.482
CELL_PARAMETERS angstrom
-4.250 4.250 3.106
4.250 -4.250 3.106
4.250 4.250 -3.106
! Energy of formation   -0.85 eV/f.u.
! Space group   I-42d, No. 122

Entry 2:
! LiCa2Pb2, single point on PBEsol structure, DFT SCAN; values from VASP
&SYSTEM
  ibrav = 0, nat = 10, ntyp = 3
/
ATOMIC_SPECIES
Li 6.94 Li.upf
Ca 40.08 Ca.upf
Pb 207.20 Pb.upf
ATOMIC_POSITIONS crystal
Li 0.000 0.000 0.000
Li 0.500 0.500 0.000
Ca 0.162 0.338 0.500
Ca 0.338 0.838 0.500
Ca 0.662 0.162 0.500
Ca 0.838 0.662 0.500
Pb 0.142 0.642 0.000
Pb 0.358 0.142 0.000
Pb 0.642 0.858 0.000
Pb 0.858 0.358 0.000
CELL_PARAMETERS angstrom
7.780 0.000 0.000
0.000 7.780 0.000
0.000 0.000 4.743
! Energy of formation   -3.13 eV/f.u.
! Space group   P4/mbm, No. 127

Entry 3:
! Li2TaFe, single point on PBEsol structure, DFT SCAN; values from VASP
&SYSTEM
  ibrav = 0, nat = 4, ntyp = 3
/
ATOMIC_SPECIES
Li 6.94 Li.upf
Ta 180.95 Ta.upf
Fe 55.84 Fe.upf
ATOMIC_POSITIONS crystal
Li 0.000 0.000 0.231
Li 0.000 0.000 0.769
Ta 0.500 0.500 0.500
Fe 0.500 0.500 0.000
CELL_PARAMETERS angstrom
1.453 -2.138 0.000
1.453 2.138 0.000
0.000 0.000 9.598
! Energy of formation   1.52 eV/f.u.
! Space group   Cmmm, No. 65

Entry 4:
! RbZrPCl2, single point on PBEsol structure, DFT SCAN; values from VASP
&SYSTEM
  ibrav = 0, nat = 5, ntyp = 4
/
ATOMIC_SPECIES
Rb 85.47 Rb.upf
Zr 91.22 Zr.upf
P 30.97 P.upf
Cl 35.45 Cl.upf
ATOMIC_POSITIONS crystal
Rb 0.000 0.000 0.000
Zr 0.500 0.500 0.500
P 0.500 0.500 0.000
Cl 0.000 0.500 0.500
Cl 0.500 0.000 0.500
CELL_PARAMETERS angstrom
5.128 0.000 0.000
0.000 5.128 0.000
0.000 0.000 5.004
! Space group   P4/mmm, No. 123
! Uncorrected formation energy   -7.17 eV/f.u.

Entry 5:
! Pm2ZnIn, single point on PBEsol structure, DFT SCAN; values from VASP
&SYSTEM
  ibrav = 0, nat = 4, ntyp = 3
/
ATOMIC_SPECIES
Pm 145.00 Pm.upf
Zn 65.41 Zn.upf
In 114.82 In.upf
ATOMIC_POSITIONS crystal
Pm 0.250 0.250 0.250
Pm 0.750 0.750 0.750
Zn 0.000 0.000 0.000
In 0.500 0.500 0.500
CELL_PARAMETERS angstrom
0.000 3.706 3.706
3.706 0.000 3.706
3.706 3.706 0.000
! Energy of formation   -2.06 eV/f.u.
! Space group   Fm-3m, No. 225

Entry 6:
! SrLiCo2, single point on PBEsol structure, DFT SCAN; values from VASP
&SYSTEM
  ibrav = 0, nat = 4, ntyp = 3
/
ATOMIC_SPECIES
Sr 87.62 Sr.upf
Li 6.94 Li.upf
Co 58.93 Co.upf
ATOMIC_POSITIONS crystal
Sr 0.000 0.000 0.000
Li 0.500 0.500 0.000
Co 0.000 0.500 0.500
Co 0.500 0.000 0.500
CELL_PARAMETERS angstrom
3.816 0.000 0.000
0.000 3.816 0.000
0.000 0.000 4.453
! Energy of formation   2.60 eV/f.u.
! Space group   P4/mmm, No. 123

Let's list M_tot in order: 0.00; 0.00; 2.66; 0.00; 0.00; 2.76 μB per formula unit.
Let's list DFT total energy in order: -204.94; -176.41; -87.98; -84.96; -136.93; -56.68 eV/f.u..